This record from Alexandria describes a relaxed K2IrPt crystal. The functional is PBE.

abc: 8.9963 2.8939 9.6016
angles: 90.00 94.16 90.00
Space group Cm (No. 8)
Asymmetric unit:
K1 0.0000 0.0000 0.0000 (multiplicity 2)
K2 0.2207 0.0000 0.5489 (multiplicity 2)
Ir1 0.4769 0.0000 0.3027 (multiplicity 2)
Pt1 0.2418 0.5000 0.2448 (multiplicity 2)

Total magnetization   0.00 μB per atom
Relative energy among the computed polymorphs   59 meV per atom
Calculated total energy   -15.9 eV per formula unit
V   31.2 A^3/atom
Energy of formation   1.19 eV per formula unit
Density of states at the Fermi level   6.045 states/eV per cell

This record from Alexandria describes a relaxed Th4SnCS2 crystal. The functional is PBE.

abc: 7.2038 7.6372 7.8994
angles: 90.00 90.00 90.00
Space group I222 (No. 23)
Asymmetric unit:
Th1 0.1820 0.2043 0.3384 (multiplicity 8)
Sn1 0.0000 0.0000 0.0000 (multiplicity 2)
C1 0.0000 0.0000 0.5000 (multiplicity 2)
S1 0.0000 0.5000 0.2141 (multiplicity 4)

Total magnetization   0.00 μB per atom
Calculated total energy   -57.6 eV per formula unit
V   27.2 A^3/atom
Density of states at the Fermi level   18.500 states/eV per cell

This record from Alexandria describes a relaxed PmEr2In2 crystal. The functional is PBE.

abc: 4.6053 4.6053 28.8273
angles: 90.00 90.00 90.00
Space group I4/mmm (No. 139)
Asymmetric unit:
Pm1 0.0000 0.0000 0.1353 (multiplicity 4)
Er1 0.0000 0.0000 0.4266 (multiplicity 4)
Er2 0.0000 0.5000 0.2500 (multiplicity 4)
In1 0.0000 0.0000 0.3246 (multiplicity 4)
In2 0.0000 0.5000 0.0000 (multiplicity 4)

Total magnetization   0.00 μB per atom
Relative energy among the computed polymorphs   209 meV per atom
Calculated total energy   -20.1 eV per formula unit
V   30.6 A^3/atom
Energy of formation   -0.76 eV per formula unit
Density of states at the Fermi level   22.112 states/eV per cell

This record from Alexandria describes a relaxed AlHgSb2 crystal. The functional is PBE.

abc: 3.9120 4.8959 5.1945
angles: 90.00 90.00 90.00
Space group Pmmm (No. 47)
Asymmetric unit:
Al1 0.0000 0.0000 0.0000 (multiplicity 1)
Hg1 0.5000 0.0000 0.5000 (multiplicity 1)
Sb1 0.0000 0.5000 0.5000 (multiplicity 1)
Sb2 0.5000 0.5000 0.0000 (multiplicity 1)

Total magnetization   0.00 μB per atom
Relative energy among the computed polymorphs   192 meV per atom
Calculated total energy   -11.3 eV per formula unit
V   24.9 A^3/atom
Density of states at the Fermi level   2.466 states/eV per cell